DFT (PBE) results for crystalline Ba6BiSe3Br2 at its relaxed geometry.

Calculated values
Its density of states at the Fermi level is 7.528 states/eV/cell. Its density is 5.03 g/cm3. The total energy is -4.217 eV/atom. For the formation energy without anion corrections, the calculation gives -1.78 eV/atom. The calculation puts the total moment at 0.00 μB/cell.

Unit cell a=8.2887 b=14.3522 c=8.4044 alpha=90.00 beta=109.14 gamma=90.00
With the nearest neighbours (Å) after each atom.
Space group C2/m (No. 12)
Unique sites:
Ba: 0.2387 0.0000 0.2314 x4  3 Se 3.31-3.35, 1 Bi 3.46, 2 Br 3.50
Ba: 0.2464 0.3358 0.2320 x8  3 Se 3.30-3.34, 1 Bi 3.46, 2 Br 3.50-3.51
Bi: 0.0000 0.0000 0.5000 x2  6 Ba 3.46
Se: 0.0000 0.1678 0.0000 x4  6 Ba 3.30-3.34
Se: 0.0000 0.5000 0.0000 x2  6 Ba 3.30-3.35
Br: 0.0000 0.3338 0.5000 x4  6 Ba 3.50-3.51